# 1
Here is an optimized crystal structure of CeSmTlSn from Alexandria. Energies are from PBE.

Geometry as POSCAR:
```
CeSmTlSn
1.0
4.063 0.000 0.000
0.000 4.063 0.000
0.000 0.000 6.961
Ce Sm Tl Sn
1 1 1 1
Cartesian
2.031 2.031 4.303 Ce
2.031 2.031 0.672 Sm
0.000 0.000 2.437 Tl
0.000 0.000 6.008 Sn
```

The calculation puts the energy above the most stable polymorph in this dataset at 0.0000 eV per atom. As for the volume: 28.722 A^3/atom.

# 2
Here is an optimized crystal structure of CeSmTlSn from Alexandria. Energies are from PBE.

Geometry as POSCAR:
```
CeSmTlSn
1.0
5.467 0.000 0.000
2.733 4.734 0.000
2.733 1.578 4.464
Tl Ce Sm Sn
1 1 1 1
Cartesian
8.200 4.734 3.348 Tl
5.467 3.156 2.232 Ce
0.000 0.000 0.000 Sm
2.733 1.578 1.116 Sn
```

The calculation puts the energy above the most stable polymorph in this dataset at 0.0175 eV per atom. As for the volume: 28.881 A^3/atom.

# 3
Here is an optimized crystal structure of CeSmTmSn from Alexandria. Energies are from PBE.

Geometry as POSCAR:
```
CeSmTmSn
1.0
-1.805 0.732 -5.028
1.932 -3.023 -4.025
-3.130 -3.733 -2.311
Tm Ce Sm Sn
1 1 1 1
Cartesian
0.000 0.000 0.000 Tm
-2.252 -4.518 -8.523 Ce
-1.501 -3.012 -5.682 Sm
-0.751 -1.506 -2.841 Sn
```

For the total energy, the calculation gives -4.97 eV/atom. As for the volume: 27.710 A^3/atom.

# 4
Here is an optimized crystal structure of CeSmYSn from Alexandria. Energies are from PBE.

Geometry as POSCAR:
```
CeSmYSn
1.0
5.427 0.000 0.000
2.714 4.700 0.000
2.714 1.567 4.431
Y Ce Sm Sn
1 1 1 1
Cartesian
0.000 0.000 0.000 Y
2.714 1.567 1.108 Ce
5.427 3.133 2.216 Sm
8.141 4.700 3.324 Sn
```

For the total energy, the calculation gives -5.49 eV/atom. As for the volume: 28.261 A^3/atom.

# 5
Here is an optimized crystal structure of Ce2SmZn2Sn2 from Alexandria. Energies are from PBE.

Geometry as POSCAR:
```
Ce2SmZn2Sn2
1.0
-4.141 -1.794 -0.512
-0.719 -4.374 0.991
-3.757 0.323 9.112
Ce Sm Zn Sn
2 1 2 2
Cartesian
-2.840 -0.698 5.271 Ce
-5.777 -5.147 4.320 Ce
0.000 0.000 0.000 Sm
-3.792 -3.498 2.631 Zn
-4.825 -2.347 6.960 Zn
-6.576 -4.257 7.668 Sn
-2.041 -1.587 1.923 Sn
```

For the total energy, the calculation gives -4.23 eV/atom. As for the volume: 24.263 A^3/atom.

# 6
Here is an optimized crystal structure of SrCeSm2 from Alexandria. Energies are from PBE.

Geometry as POSCAR:
```
SrCeSm2
1.0
4.212 0.000 0.000
2.106 3.648 0.000
2.106 1.216 10.259
Sr Ce Sm
1 1 2
Cartesian
0.000 0.000 0.000 Sr
4.212 2.432 5.130 Ce
2.106 1.216 6.683 Sm
6.319 3.648 3.576 Sm
```

The calculation puts the energy above the most stable polymorph in this dataset at 0.6358 eV per atom. As for the volume: 39.414 A^3/atom.

# 7
Here is an optimized crystal structure of SrCeSm from Alexandria. Energies are from PBE.

Geometry as POSCAR:
```
SrCeSm
1.0
-0.451 2.895 2.240
-1.294 -2.237 2.631
8.592 -1.377 0.472
Sr Ce Sm
1 1 1
Cartesian
0.016 -0.002 0.006 Sr
1.895 -0.046 3.477 Ce
4.937 -0.670 1.859 Sm
```

The calculation puts the energy above the most stable polymorph in this dataset at 0.0075 eV per atom. As for the volume: 37.697 A^3/atom.

# 8
Here is an optimized crystal structure of SrCeSm from Alexandria. Energies are from PBE.

Geometry as POSCAR:
```
SrCeSm
1.0
6.495 1.491 0.715
4.537 4.882 0.715
1.992 1.151 9.373
Sr Sm Ce
2 2 2
Cartesian
4.885 2.822 1.020 Sr
7.583 4.381 3.492 Sr
10.335 5.970 5.400 Sm
9.952 5.749 9.073 Sm
2.585 1.494 6.277 Ce
6.442 3.721 6.787 Ce
```

The calculation puts the energy above the most stable polymorph in this dataset at 0.0000 eV per atom. As for the volume: 37.890 A^3/atom.

Q: The highest volume belongs to which entry?
A: SrCeSm2